A plane-wave DFT calculation with GGA-PBE was carried out for PuCdSiO6 after structural relaxation.

Properties
magnetic moment = 2.00 μB per formula unit
calculated density = 7.09 Mg/m³
raw formation energy = -2.108 eV/atom

a b c (Å): 5.196 5.196 9.625
angles (deg): 90.00 90.00 120.00
Last column: magnetic moment on the atom in μB.
Fractional coordinates of all 18 atoms:
O1 0.616 0.655 0.644  -0.09
O2 0.345 0.961 0.644  -0.09
O3 0.039 0.384 0.644  -0.09
Si1 0.333 0.667 0.750  0.01
Pu1 0.667 0.333 0.750  2.54
Cd1 0.000 0.000 0.500  0.00
O4 0.384 0.345 0.356  -0.09
O5 0.961 0.345 0.144  -0.09
O6 0.384 0.039 0.144  -0.09
O7 0.961 0.616 0.356  -0.09
Pu2 0.333 0.667 0.250  2.54
Si2 0.667 0.333 0.250  0.01
O8 0.345 0.384 0.856  -0.09
O9 0.616 0.961 0.856  -0.09
O10 0.655 0.616 0.144  -0.09
Cd2 0.000 0.000 0.000  0.00
O11 0.039 0.655 0.856  -0.09
O12 0.655 0.039 0.356  -0.09

=====

A plane-wave DFT calculation with GGA-PBE was carried out for Sm2PuCdO8 after structural relaxation.

Properties
magnetic moment = 0.75 μB per formula unit
calculated density = 7.76 Mg/m³
raw formation energy = -2.386 eV/atom

a b c (Å): 4.110 5.369 7.681
angles (deg): 89.97 90.01 97.69
Last column: magnetic moment on the atom in μB.
Fractional coordinates of all 12 atoms:
Cd1 0.000 0.000 0.500  0.01
O1 0.568 0.777 0.000  -0.05
O2 0.055 0.763 0.798  -0.05
O3 0.432 0.223 0.000  -0.05
Sm1 0.500 0.500 0.747  0.00
O4 0.442 0.255 0.500  0.14
O5 0.558 0.745 0.500  0.14
O6 0.055 0.763 0.202  -0.05
Sm2 0.500 0.500 0.253  0.00
O7 0.945 0.237 0.202  -0.05
Pu1 0.000 0.000 0.000  0.75
O8 0.945 0.237 0.798  -0.05

=====

A plane-wave DFT calculation with GGA-PBE was carried out for PuCd2SnO8 after structural relaxation.

Properties
magnetic moment = 0.17 μB per formula unit
calculated density = 6.93 Mg/m³
raw formation energy = -1.470 eV/atom

a b c (Å): 5.059 5.057 6.721
angles (deg): 90.00 90.00 93.95
Last column: magnetic moment on the atom in μB.
Fractional coordinates of all 12 atoms:
O1 0.284 0.282 0.000  -0.04
O2 0.176 0.823 0.769  -0.04
O3 0.716 0.718 0.000  -0.04
Sn1 0.000 0.000 0.500  0.00
Cd1 0.500 0.500 0.743  -0.01
O4 0.286 0.284 0.500  -0.05
O5 0.824 0.177 0.769  -0.04
Pu1 0.000 0.000 0.000  0.58
O6 0.714 0.716 0.500  -0.05
O7 0.176 0.823 0.231  -0.04
Cd2 0.500 0.500 0.257  -0.01
O8 0.824 0.177 0.231  -0.04

=====

A plane-wave DFT calculation with GGA-PBE was carried out for PuCdSnO after structural relaxation.

Properties
magnetic moment = 5.40 μB per formula unit
calculated density = 8.47 Mg/m³
raw formation energy = -1.041 eV/atom

a b c (Å): 3.213 3.213 9.597
angles (deg): 99.64 99.64 90.00
Last column: magnetic moment on the atom in μB.
Fractional coordinates of all 4 atoms:
Cd1 0.194 0.194 0.387  0.00
O1 0.369 0.369 0.738  -0.13
Pu1 0.899 0.899 0.797  5.28
Sn1 0.551 0.551 0.101  0.03

=====

A plane-wave DFT calculation with GGA-PBE was carried out for SrPuCdO6 after structural relaxation.

Properties
magnetic moment = 0.03 μB per formula unit
calculated density = 6.05 Mg/m³
raw formation energy = -2.020 eV/atom

a b c (Å): 5.709 5.709 10.500
angles (deg): 90.00 90.00 120.00
Fractional coordinates of all 18 atoms:
O1 0.955 0.617 0.358
O2 0.662 0.617 0.142
O3 0.617 0.955 0.858
O4 0.045 0.383 0.642
O5 0.045 0.662 0.858
Sr1 0.000 0.000 0.000
Cd1 0.667 0.333 0.750
O6 0.338 0.955 0.642
O7 0.955 0.338 0.142
Cd2 0.333 0.667 0.250
O8 0.662 0.045 0.358
O9 0.383 0.045 0.142
O10 0.383 0.338 0.358
O11 0.617 0.662 0.642
Sr2 0.000 0.000 0.500
Pu1 0.667 0.333 0.250
Pu2 0.333 0.667 0.750
O12 0.338 0.383 0.858

=====

A plane-wave DFT calculation with GGA-PBE was carried out for Tb2PuCdO8 after structural relaxation.

Properties
magnetic moment = 0.02 μB per formula unit
calculated density = 7.32 Mg/m³
raw formation energy = -2.440 eV/atom

a b c (Å): 5.021 5.025 7.223
angles (deg): 90.00 90.00 92.47
Last column: magnetic moment on the atom in μB.
Fractional coordinates of all 12 atoms:
O1 0.816 0.188 0.201  0.02
O2 0.711 0.714 0.000  0.02
O3 0.304 0.303 0.500  0.05
O4 0.185 0.813 0.201  0.02
Tb1 0.500 0.500 0.739  0.00
O5 0.696 0.697 0.500  0.05
O6 0.184 0.812 0.799  0.02
Tb2 0.500 0.500 0.261  0.00
O7 0.289 0.286 0.000  0.02
Pu1 0.000 0.000 0.000  -0.22
O8 0.815 0.187 0.799  0.02
Cd1 0.000 0.000 0.500  0.00

=====

A plane-wave DFT calculation with GGA-PBE was carried out for TbPuCd2O6 after structural relaxation.

Properties
magnetic moment = 3.00 μB per formula unit
calculated density = 8.17 Mg/m³
raw formation energy = -2.252 eV/atom

a b c (Å): 5.766 5.766 6.099
angles (deg): 61.79 61.79 60.00
Last column: magnetic moment on the atom in μB.
Fractional coordinates of all 10 atoms:
O1 0.202 0.950 0.263  -0.06
O2 0.950 0.585 0.263  -0.06
Cd1 0.030 0.030 0.909  0.00
Cd2 0.536 0.536 0.391  0.00
O3 0.687 0.106 0.776  -0.06
O4 0.431 0.687 0.776  -0.06
Tb1 0.814 0.814 0.557  -0.02
Pu1 0.319 0.319 0.042  3.38
O5 0.106 0.431 0.776  -0.06
O6 0.585 0.202 0.263  -0.06

=====

A plane-wave DFT calculation with GGA-PBE was carried out for PuCd2TeO6 after structural relaxation.

Properties
magnetic moment = 3.69 μB per formula unit
calculated density = 6.97 Mg/m³
raw formation energy = -1.352 eV/atom

a b c (Å): 4.383 6.137 6.137
angles (deg): 90.00 90.00 90.00
Last column: magnetic moment on the atom in μB.
Fractional coordinates of all 10 atoms:
O1 0.112 0.000 0.000  -0.13
Cd1 0.323 0.500 0.000  0.01
Te1 0.616 0.500 0.500  -0.02
Cd2 0.323 0.000 0.500  0.01
O2 0.567 0.747 0.747  -0.04
O3 0.567 0.253 0.747  -0.04
O4 0.182 0.500 0.500  -0.03
O5 0.567 0.747 0.253  -0.04
O6 0.567 0.253 0.253  -0.04
Pu1 0.623 0.000 0.000  3.93

=====

A plane-wave DFT calculation with GGA-PBE was carried out for PuThCdO6 after structural relaxation.

Properties
magnetic moment = 2.00 μB per formula unit
calculated density = 8.18 Mg/m³
raw formation energy = -2.557 eV/atom

a b c (Å): 5.627 5.627 10.137
angles (deg): 90.00 90.00 120.00
Last column: magnetic moment on the atom in μB.
Fractional coordinates of all 18 atoms:
O1 0.679 0.035 0.367  -0.07
O2 0.644 0.679 0.633  -0.07
O3 0.035 0.356 0.633  -0.07
O4 0.321 0.965 0.633  -0.07
Th1 0.000 0.000 0.000  -0.02
Cd1 0.667 0.333 0.750  0.00
O5 0.965 0.644 0.367  -0.07
O6 0.679 0.644 0.133  -0.07
O7 0.035 0.679 0.867  -0.07
O8 0.356 0.321 0.367  -0.07
Cd2 0.333 0.667 0.250  0.00
O9 0.356 0.035 0.133  -0.07
Th2 0.000 0.000 0.500  -0.02
O10 0.965 0.321 0.133  -0.07
O11 0.644 0.965 0.867  -0.07
O12 0.321 0.356 0.867  -0.07
Pu1 0.667 0.333 0.250  2.47
Pu2 0.333 0.667 0.750  2.47

=====

A plane-wave DFT calculation with GGA-PBE was carried out for PuTiCdO6 after structural relaxation.

Properties
magnetic moment = 2.00 μB per formula unit
calculated density = 6.86 Mg/m³
raw formation energy = -2.325 eV/atom

a b c (Å): 5.404 5.404 9.576
angles (deg): 90.00 90.00 120.00
Last column: magnetic moment on the atom in μB.
Fractional coordinates of all 18 atoms:
O1 0.644 0.633 0.140  -0.08
O2 0.356 0.367 0.860  -0.08
O3 0.633 0.644 0.640  -0.08
O4 0.356 0.988 0.640  -0.08
Pu1 0.333 0.667 0.250  2.45
O5 0.644 0.012 0.360  -0.08
O6 0.367 0.356 0.360  -0.08
Cd1 0.000 0.000 0.000  0.00
Ti1 0.667 0.333 0.250  0.04
Ti2 0.333 0.667 0.750  0.04
O7 0.633 0.988 0.860  -0.08
O8 0.367 0.012 0.140  -0.08
Cd2 0.000 0.000 0.500  0.00
Pu2 0.667 0.333 0.750  2.45
O9 0.012 0.367 0.640  -0.08
O10 0.988 0.633 0.360  -0.08
O11 0.012 0.644 0.860  -0.08
O12 0.988 0.356 0.140  -0.08

=====

A plane-wave DFT calculation with GGA-PBE was carried out for PuTl3Cd2O6 after structural relaxation.

Properties
magnetic moment = 3.00 μB per formula unit
calculated density = 9.62 Mg/m³
raw formation energy = -1.334 eV/atom

a b c (Å): 5.993 5.993 6.815
angles (deg): 98.14 98.14 119.98
Last column: magnetic moment on the atom in μB.
Fractional coordinates of all 12 atoms:
Pu1 0.000 0.000 0.000  3.42
O1 0.061 0.363 0.177  -0.08
O2 0.939 0.637 0.823  -0.08
O3 0.637 0.939 0.823  -0.08
Tl1 0.169 0.831 0.500  0.00
Tl2 0.500 0.500 0.500  0.00
O4 0.363 0.061 0.177  -0.08
Tl3 0.831 0.169 0.500  0.00
O5 0.759 0.759 0.192  -0.06
Cd1 0.665 0.335 0.000  0.00
O6 0.241 0.241 0.808  -0.06
Cd2 0.335 0.665 0.000  0.00

=====

A plane-wave DFT calculation with GGA-PBE was carried out for PuTl2CdO6 after structural relaxation.

Properties
magnetic moment = 0.45 μB per formula unit
calculated density = 8.96 Mg/m³
raw formation energy = -1.428 eV/atom

a b c (Å): 6.101 6.102 6.078
angles (deg): 59.87 59.87 60.00
Last column: magnetic moment on the atom in μB.
Fractional coordinates of all 10 atoms:
Cd1 0.816 0.816 0.552  -0.01
Pu1 0.316 0.316 0.051  0.81
O1 0.511 0.584 0.819  -0.05
Tl1 0.566 0.566 0.302  -0.01
O2 0.583 0.087 0.819  -0.05
O3 0.546 0.122 0.284  -0.05
O4 0.087 0.511 0.819  -0.05
Tl2 0.066 0.066 0.801  -0.01
O5 0.122 0.049 0.284  -0.05
O6 0.049 0.545 0.284  -0.05

=====

A plane-wave DFT calculation with GGA-PBE was carried out for PuTl2CdO8 after structural relaxation.

Properties
magnetic moment = 0.19 μB per formula unit
calculated density = 7.93 Mg/m³
raw formation energy = -1.198 eV/atom

a b c (Å): 5.253 5.245 6.804
angles (deg): 90.00 90.00 94.23
Last column: magnetic moment on the atom in μB.
Fractional coordinates of all 12 atoms:
Tl1 0.500 0.500 0.746  0.00
O1 0.171 0.826 0.797  -0.02
O2 0.695 0.698 0.000  -0.02
O3 0.829 0.174 0.797  -0.02
O4 0.305 0.302 0.000  -0.02
Cd1 0.000 0.000 0.500  0.00
Tl2 0.500 0.500 0.254  0.00
Pu1 0.000 0.000 0.000  0.38
O5 0.829 0.174 0.203  -0.02
O6 0.171 0.826 0.203  -0.02
O7 0.695 0.698 0.500  -0.02
O8 0.305 0.302 0.500  -0.02

=====

A plane-wave DFT calculation with GGA-PBE was carried out for Tm2PuCdO8 after structural relaxation.

Properties
magnetic moment = 0.39 μB per formula unit
calculated density = 7.80 Mg/m³
raw formation energy = -2.470 eV/atom

a b c (Å): 4.982 4.986 7.048
angles (deg): 90.00 90.00 92.12
Last column: magnetic moment on the atom in μB.
Fractional coordinates of all 12 atoms:
O1 0.189 0.810 0.204  -0.01
O2 0.189 0.810 0.796  -0.01
O3 0.693 0.694 0.500  0.06
O4 0.709 0.710 0.000  -0.01
Tm1 0.500 0.500 0.260  -0.01
O5 0.291 0.290 0.000  -0.01
O6 0.811 0.190 0.796  -0.01
Cd1 0.000 0.000 0.500  0.00
Pu1 0.000 0.000 0.000  0.32
O7 0.307 0.306 0.500  0.06
Tm2 0.500 0.500 0.740  -0.01
O8 0.811 0.190 0.204  -0.01

=====

A plane-wave DFT calculation with GGA-PBE was carried out for TmPuCdO6 after structural relaxation.

Properties
magnetic moment = 1.00 μB per formula unit
calculated density = 7.82 Mg/m³
raw formation energy = -2.350 eV/atom

a b c (Å): 4.733 5.674 5.674
angles (deg): 120.00 90.00 90.00
Last column: magnetic moment on the atom in μB.
Fractional coordinates of all 9 atoms:
Cd1 0.000 0.333 0.667  -0.01
O1 0.274 0.306 0.298  -0.06
Tm1 0.500 0.667 0.333  -0.01
O2 0.274 0.702 0.009  -0.06
O3 0.726 0.991 0.298  -0.06
Pu1 0.500 0.000 0.000  1.40
O4 0.726 0.306 0.009  -0.06
O5 0.726 0.702 0.694  -0.06
O6 0.274 0.991 0.694  -0.06

=====

A plane-wave DFT calculation with GGA-PBE was carried out for PuUCdO6 after structural relaxation.

Properties
magnetic moment = 4.00 μB per formula unit
calculated density = 8.34 Mg/m³
raw formation energy = -2.529 eV/atom

a b c (Å): 5.858 5.858 9.250
angles (deg): 90.00 90.00 120.00
Last column: magnetic moment on the atom in μB.
Fractional coordinates of all 18 atoms:
O1 0.638 0.987 0.363  -0.05
O2 0.362 0.013 0.637  -0.05
Pu1 0.667 0.333 0.250  4.02
U1 0.667 0.333 0.750  0.25
O3 0.987 0.349 0.637  -0.05
O4 0.651 0.013 0.863  -0.05
O5 0.013 0.362 0.137  -0.05
Pu2 0.333 0.667 0.750  4.02
U2 0.333 0.667 0.250  0.25
O6 0.651 0.638 0.637  -0.05
O7 0.638 0.651 0.137  -0.05
O8 0.349 0.987 0.137  -0.05
Cd1 0.000 0.000 0.000  0.01
O9 0.362 0.349 0.863  -0.05
O10 0.987 0.638 0.863  -0.05
O11 0.013 0.651 0.363  -0.05
O12 0.349 0.362 0.363  -0.05
Cd2 0.000 0.000 0.500  0.01